ScNbSb2 | PBE | relaxed

a b c (Å): 8.0980 8.0980 8.0980
angles (deg): 133.75 133.75 67.48
Fractional positions:
Sc: 0.0000 0.0000 0.0000
Sc: 0.7500 0.2500 0.5000
Nb: 0.2500 0.7500 0.5000
Nb: 0.5000 0.5000 0.0000
Sb: 0.1428 0.6250 0.0178
Sb: 0.3750 0.3928 0.5178
Sb: 0.6072 0.1250 0.9822
Sb: 0.8750 0.8572 0.4822

Output
raw formation energy	0.218	eV per atom
crystal system	tetragonal
energy above the lowest structure with this stoichiometry	0.576	eV per atom
space group	I-42d, No. 122

=====

ScNbSb2 | PBE | relaxed

a b c (Å): 7.2082 7.2082 7.2082
angles (deg): 32.27 32.27 32.27
Fractional positions:
Sc: 0.0000 0.0000 0.0000
Nb: 0.5000 0.5000 0.5000
Sb: 0.2476 0.2476 0.2476
Sb: 0.7524 0.7524 0.7524

Output
raw formation energy	-0.358	eV per atom
crystal system	trigonal
energy above the lowest structure with this stoichiometry	0.000	eV per atom
space group	R-3m, No. 166

=====

ScNbSb2 | PBE | relaxed

a b c (Å): 4.9393 4.9393 4.9393
angles (deg): 60.00 60.00 60.00
Fractional positions:
Sc: 0.0000 0.0000 0.0000
Nb: 0.5000 0.5000 0.5000
Sb: 0.2500 0.2500 0.2500
Sb: 0.7500 0.7500 0.7500

Output
raw formation energy	-0.325	eV per atom
crystal system	cubic
energy above the lowest structure with this stoichiometry	0.034	eV per atom
space group	Fm-3m, No. 225

=====

Sc2Nb2Sb | PBE | relaxed

a b c (Å): 7.5260 7.5260 7.5260
angles (deg): 149.23 149.23 44.08
Fractional positions:
Sc: 0.2500 0.7500 0.5000
Sc: 0.7500 0.2500 0.5000
Nb: 0.0891 0.0891 0.0000
Nb: 0.9109 0.9109 0.0000
Sb: 0.5000 0.5000 0.0000

Output
raw formation energy	0.567	eV per atom
crystal system	tetragonal
energy above the lowest structure with this stoichiometry	0.643	eV per atom
space group	I4/mmm, No. 139

=====

Sc2TaNbSb | PBE | relaxed

a b c (Å): 5.1106 5.1106 5.0970
angles (deg): 90.00 90.00 90.00
Fractional positions:
Sc: 0.0000 0.5000 0.0000
Sc: 0.5000 0.0000 0.0000
Ta: 0.0000 0.0000 0.5000
Nb: 0.5000 0.5000 0.5000
Sb: 0.0000 0.0000 0.0000

Output
raw formation energy	1.099	eV per atom
crystal system	tetragonal
space group	P4/mmm, No. 123

=====

Nb2Sb2Se | PBE | relaxed

a b c (Å): 7.5632 7.5632 3.7008
angles (deg): 90.00 90.00 90.00
Fractional positions:
Nb: 0.1483 0.3517 0.0000
Nb: 0.3517 0.8517 0.0000
Nb: 0.6483 0.1483 0.0000
Nb: 0.8517 0.6483 0.0000
Sb: 0.1446 0.6446 0.5000
Sb: 0.3554 0.1446 0.5000
Sb: 0.6446 0.8554 0.5000
Sb: 0.8554 0.3554 0.5000
Se: 0.0000 0.0000 0.0000
Se: 0.5000 0.5000 0.0000

Output
raw formation energy	-0.142	eV per atom
crystal system	tetragonal
space group	P4/mbm, No. 127

=====

Nb4SbSe8 | PBE | relaxed

a b c (Å): 7.6032 7.6032 7.6032
angles (deg): 60.00 60.00 60.00
Fractional positions:
Nb: 0.1016 0.1016 0.1016
Nb: 0.1016 0.1016 0.6953
Nb: 0.1016 0.6953 0.1016
Nb: 0.6953 0.1016 0.1016
Sb: 0.5000 0.5000 0.5000
Se: 0.3557 0.3557 0.3557
Se: 0.3557 0.3557 0.9330
Se: 0.3557 0.9330 0.3557
Se: 0.3980 0.8673 0.8673
Se: 0.8673 0.3980 0.8673
Se: 0.8673 0.8673 0.3980
Se: 0.8673 0.8673 0.8673
Se: 0.9330 0.3557 0.3557

Output
raw formation energy	-0.694	eV per atom
crystal system	cubic
energy above the lowest structure with this stoichiometry	0.000	eV per atom
space group	F-43m, No. 216

=====

NbSbSe | PBE | relaxed

a b c (Å): 8.6167 8.6167 10.7783
angles (deg): 108.44 108.44 37.74
Fractional positions:
Nb: 0.0118 0.9882 0.5000
Nb: 0.0991 0.5568 0.5623
Nb: 0.4407 0.9259 0.5101
Nb: 0.5568 0.0991 0.0623
Nb: 0.9259 0.4407 0.0101
Nb: 0.9882 0.0118 0.0000
Sb: 0.0901 0.6314 0.0656
Sb: 0.2957 0.8586 0.2601
Sb: 0.3943 0.9053 0.9867
Sb: 0.6314 0.0901 0.5656
Sb: 0.8586 0.2957 0.7601
Sb: 0.9053 0.3943 0.4867
Se: 0.1712 0.6802 0.7944
Se: 0.1840 0.5801 0.3756
Se: 0.4120 0.7902 0.6695
Se: 0.5801 0.1840 0.8756
Se: 0.6802 0.1712 0.2944
Se: 0.7902 0.4120 0.1695

Output
raw formation energy	-0.116	eV per atom
crystal system	monoclinic
space group	Cc, No. 9

=====

Nb2SbSe2 | PBE | relaxed

a b c (Å): 5.8377 5.8377 5.8377
angles (deg): 132.34 132.34 69.69
Fractional positions:
Nb: 0.2500 0.7500 0.5000
Nb: 0.7500 0.2500 0.5000
Sb: 0.0000 0.0000 0.0000
Se: 0.3573 0.3573 0.0000
Se: 0.6427 0.6427 0.0000

Output
raw formation energy	-0.203	eV per atom
crystal system	tetragonal
energy above the lowest structure with this stoichiometry	0.000	eV per atom
space group	I4/mmm, No. 139

=====

NbSbSe | PBE | relaxed

a b c (Å): 6.3044 6.1141 7.7399
angles (deg): 90.00 90.21 90.00
Fractional positions:
Nb: 0.2162 0.0048 0.4076
Nb: 0.2162 0.4952 0.9076
Nb: 0.7838 0.5048 0.0924
Nb: 0.7838 0.9952 0.5924
Sb: 0.4407 0.6854 0.6072
Sb: 0.4407 0.8146 0.1072
Sb: 0.5593 0.1854 0.8928
Sb: 0.5593 0.3146 0.3928
Se: 0.0966 0.2414 0.6490
Se: 0.0966 0.2586 0.1490
Se: 0.9034 0.7414 0.8510
Se: 0.9034 0.7586 0.3510

Output
raw formation energy	-0.326	eV per atom
crystal system	monoclinic
space group	P2_1/c, No. 14

=====

NbSb2Se | PBE | relaxed

a b c (Å): 7.8555 7.8555 7.8555
angles (deg): 131.70 131.70 70.70
Fractional positions:
Nb: 0.0000 0.0000 0.0000
Nb: 0.7500 0.2500 0.5000
Sb: 0.1000 0.6250 0.9750
Sb: 0.3750 0.3500 0.4750
Sb: 0.6500 0.1250 0.0250
Sb: 0.8750 0.9000 0.5250
Se: 0.2500 0.7500 0.5000
Se: 0.5000 0.5000 0.0000

Output
raw formation energy	0.499	eV per atom
crystal system	tetragonal
space group	I-42d, No. 122

=====

Nb4SbSe8 | PBE | relaxed

a b c (Å): 8.7395 8.7395 8.7395
angles (deg): 46.82 46.82 46.82
Fractional positions:
Nb: 0.0000 0.0000 0.0000
Nb: 0.0000 0.5000 0.5000
Nb: 0.5000 0.0000 0.5000
Nb: 0.5000 0.5000 0.0000
Sb: 0.5000 0.5000 0.5000
Se: 0.2419 0.2419 0.7369
Se: 0.2419 0.7369 0.2419
Se: 0.2607 0.2607 0.2607
Se: 0.2631 0.7581 0.7581
Se: 0.7369 0.2419 0.2419
Se: 0.7393 0.7393 0.7393
Se: 0.7581 0.2631 0.7581
Se: 0.7581 0.7581 0.2631

Output
raw formation energy	-0.647	eV per atom
crystal system	trigonal
energy above the lowest structure with this stoichiometry	0.048	eV per atom
space group	R-3m, No. 166